Record 1
Compound: TbNdSb
Source: OQMD
Functional: PBE
Structure: relaxed

Cell lengths 7.307, 7.307, 7.307 Å; angles 90.00, 90.00, 90.00 degrees
Space group F-43m (No. 216)
Inequivalent atoms, fractional coordinates:
1 Tb 0.000 0.000 0.000
2 Nd 0.000 0.000 0.500
3 Sb 0.250 0.250 0.750

## Properties
**Energy**: -61.28 eV/cell

Record 2
Compound: LuZnSnTe3
Source: OQMD
Functional: PBE
Structure: relaxed

Cell lengths 4.304, 14.545, 11.080 Å; angles 90.00, 90.00, 90.00 degrees
Space group Cmcm (No. 63)
Inequivalent atoms, fractional coordinates:
1 Lu 0.000 0.000 0.000
2 Zn 0.000 0.472 0.250
3 Sn 0.000 0.210 0.750
4 Te 0.000 0.091 0.250
5 Te 0.000 0.357 0.052

## Properties
**Energy**: -91.11 eV/cell

Record 3
Compound: Co3Ir3W2
Source: OQMD
Functional: PBE
Structure: relaxed

Cell lengths 5.346, 4.262, 5.358 Å; angles 90.00, 119.58, 90.00 degrees
Space group Pm (No. 6)
Inequivalent atoms, fractional coordinates:
1 Co 0.000 0.000 0.000
2 Co 0.158 0.500 0.838
3 Co 0.494 0.000 0.498
4 Ir 0.654 0.500 0.337
5 Ir 0.667 0.500 0.832
6 Ir 0.999 0.000 0.511
7 W 0.162 0.500 0.325
8 W 0.484 0.000 0.994

## Properties
**E_form**: -0.2184 eV per atom

Record 4
Compound: LaBeInPt
Source: OQMD
Functional: PBE
Structure: relaxed

Cell lengths 6.902, 6.902, 6.902 Å; angles 90.00, 90.00, 90.00 degrees
Space group F-43m (No. 216)
Inequivalent atoms, fractional coordinates:
1 La 0.000 0.000 0.000
2 Be 0.250 0.250 0.250
3 In 0.000 0.000 0.500
4 Pt 0.250 0.250 0.750

## Properties
**Energy**: -75.64 eV/cell

Record 5
Compound: Zn2BrN
Source: OQMD
Functional: PBE
Structure: relaxed

Cell lengths 5.459, 5.459, 9.701 Å; angles 90.00, 90.00, 90.00 degrees
Space group I-42d (No. 122)
Inequivalent atoms, fractional coordinates:
1 Zn 0.108 0.750 0.125
2 Br 0.000 0.000 0.500
3 N 0.000 0.000 0.000

## Properties
**Energy**: -55.68 eV/cell

Record 6
Compound: Ho2Er3Lu2Ni2Te2
Source: OQMD
Functional: PBE
Structure: relaxed

Cell lengths 3.827, 15.405, 9.466 Å; angles 90.00, 90.00, 90.00 degrees
Space group Imm2 (No. 44)
Inequivalent atoms, fractional coordinates:
1 Ho 0.000 0.147 0.000
2 Er 0.000 0.365 0.853
3 Er 0.000 0.500 0.271
4 Lu 0.000 0.185 0.648
5 Ni 0.000 0.264 0.339
6 Te 0.000 0.000 0.504
7 Te 0.000 0.500 0.610

## Properties
**Energy**: -113.70 eV/cell

Record 7
Compound: BeCoGe2
Source: OQMD
Functional: PBE
Structure: relaxed

Cell lengths 5.974, 5.974, 5.974 Å; angles 90.00, 90.00, 90.00 degrees
Space group F-43m (No. 216)
Inequivalent atoms, fractional coordinates:
1 Be 0.000 0.000 0.000
2 Co 0.250 0.250 0.250
3 Ge 0.000 0.000 0.500
4 Ge 0.250 0.250 0.750

## Properties
**Energy**: -73.47 eV/cell

Record 8
Compound: ErPa
Source: OQMD
Functional: PBE
Structure: relaxed

Cell lengths 3.2865, 3.2865, 5.7574 Å; angles 90.00, 90.00, 120.00 degrees
Space group P-6m2 (No. 187)
Inequivalent atoms, fractional coordinates:
1 Er 0.0000 0.0000 0.0000
2 Pa 0.6667 0.3333 0.5000

## Properties
**E_form**: 0.1611 eV per atom

Record 9
Compound: Sr2FeTcS6
Source: OQMD
Functional: PBE
Structure: relaxed

Cell lengths 11.470, 6.501, 6.889 Å; angles 90.00, 126.78, 90.00 degrees
Space group C2/m (No. 12)
Inequivalent atoms, fractional coordinates:
1 Sr 0.246 0.000 0.243
2 Fe 0.000 0.500 0.000
3 Tc 0.000 0.000 0.500
4 S 0.045 0.253 0.794
5 S 0.246 0.500 0.327

## Properties
**Energy**: -110.47 eV/cell

Record 10
Compound: Re3B4Mo
Source: OQMD
Functional: PBE
Structure: relaxed

Cell lengths 2.993, 3.019, 18.207 Å; angles 90.00, 90.00, 90.00 degrees
Space group Imm2 (No. 44)
Inequivalent atoms, fractional coordinates:
1 Re 0.000 0.000 0.000
2 Re 0.000 0.000 0.390
3 Re 0.000 0.500 0.249
4 B 0.000 0.000 0.541
5 B 0.000 0.000 0.848
6 B 0.000 0.500 0.098
7 B 0.000 0.500 0.789
8 Mo 0.000 0.500 0.640

## Properties
**Energy**: -152.22 eV/cell

Record 11
Compound: K3Nb8O21
Source: OQMD
Functional: PBE
Structure: relaxed

Cell lengths 9.2185, 9.2185, 11.9854 Å; angles 90.00, 90.00, 120.00 degrees
Space group P6_3/mcm (No. 193)
Inequivalent atoms, fractional coordinates:
1 K 0.0000 0.4057 0.2500
2 Nb 0.0000 0.2493 0.5947
3 Nb 0.3333 0.6667 0.0000
4 O 0.0000 0.1960 0.7500
5 O 0.0000 0.2036 0.0737
6 O 0.1684 0.4827 0.5987

## Properties
**Energy**: -536.01 eV/cell

Record 12
Compound: KGdP2H4O9
Source: OQMD
Functional: PBE
Structure: relaxed

Cell lengths 7.615, 10.457, 9.877 Å; angles 90.00, 93.39, 90.00 degrees
Space group P2_1/c (No. 14)
Inequivalent atoms, fractional coordinates:
1 K 0.245 0.224 0.338
2 Gd 0.249 0.611 0.178
3 P 0.118 0.603 0.828
4 P 0.481 0.658 0.883
5 H 0.030 0.202 0.035
6 H 0.074 0.084 0.132
7 H 0.209 0.027 0.967
8 H 0.354 0.586 0.474
9 O 0.021 0.018 0.279
10 O 0.083 0.643 0.972
11 O 0.091 0.712 0.726
12 O 0.120 0.135 0.057
13 O 0.278 0.535 0.412
14 O 0.325 0.560 0.826
15 O 0.347 0.089 0.638
16 O 0.450 0.682 0.032
17 O 0.464 0.720 0.300

## Properties
**Energy**: -440.64 eV/cell

Record 13
Compound: Ni8W5
Source: OQMD
Functional: PBE
Structure: relaxed

Cell lengths 4.7057, 4.7057, 26.1681 Å; angles 90.00, 90.00, 120.00 degrees
Space group R-3m (No. 166, hexagonal axes)
Inequivalent atoms, fractional coordinates:
1 Ni 0.0000 0.0000 0.1520
2 Ni 0.0049 0.5025 0.9090
3 W 0.0000 0.0000 0.0484
4 W 0.0000 0.0000 0.3403
5 W 0.0000 0.0000 0.5000

## Properties
**E_form**: 0.0171 eV per atom

Record 14
Compound: LiHfInNi
Source: OQMD
Functional: PBE
Structure: relaxed

Cell lengths 6.422, 6.422, 6.422 Å; angles 90.00, 90.00, 90.00 degrees
Space group F-43m (No. 216)
Inequivalent atoms, fractional coordinates:
1 Li 0.000 0.000 0.000
2 Hf 0.250 0.250 0.250
3 In 0.000 0.000 0.500
4 Ni 0.250 0.250 0.750

## Properties
**Energy**: -79.90 eV/cell

Record 15
Compound: ZnCdFeNi
Source: OQMD
Functional: PBE
Structure: relaxed

Cell lengths 6.092, 6.092, 6.092 Å; angles 90.00, 90.00, 90.00 degrees
Space group F-43m (No. 216)
Inequivalent atoms, fractional coordinates:
1 Zn 0.000 0.000 0.000
2 Cd 0.000 0.000 0.500
3 Fe 0.250 0.250 0.250
4 Ni 0.250 0.250 0.750

## Properties
**E_form**: 0.1828 eV per atom

Record 16
Compound: LuFeCoSn
Source: OQMD
Functional: PBE
Structure: relaxed

Cell lengths 6.532, 6.532, 6.532 Å; angles 90.00, 90.00, 90.00 degrees
Space group F-43m (No. 216)
Inequivalent atoms, fractional coordinates:
1 Lu 0.000 0.000 0.000
2 Fe 0.000 0.000 0.500
3 Co 0.250 0.250 0.750
4 Sn 0.250 0.250 0.250

## Properties
**Energy**: -94.42 eV/cell

Record 17
Compound: CdSnTeO
Source: OQMD
Functional: PBE
Structure: relaxed

Cell lengths 4.422, 4.422, 9.471 Å; angles 90.00, 90.00, 90.00 degrees
Space group P4/nmm (No. 129, origin choice 2)
Inequivalent atoms, fractional coordinates:
1 Cd 0.250 0.250 0.054
2 Sn 0.250 0.250 0.690
3 Te 0.250 0.250 0.371
4 O 0.250 0.750 0.000

## Properties
**Energy**: -30.07 eV/cell

Record 18
Compound: Tl2Zn
Source: OQMD
Functional: PBE
Structure: relaxed

Cell lengths 12.062, 12.062, 12.062 Å; angles 90.00, 90.00, 90.00 degrees
Space group Fd-3m (No. 227, origin choice 2)
Inequivalent atoms, fractional coordinates:
1 Tl 0.000 0.000 0.000
2 Zn 0.125 0.125 0.125

## Properties
**Energy**: -33.92 eV/cell

Record 19
Compound: Cu2Ag
Source: OQMD
Functional: PBE
Structure: relaxed

Cell lengths 2.7326, 2.7326, 19.5067 Å; angles 90.00, 90.00, 120.00 degrees
Space group P-3m1 (No. 164)
Inequivalent atoms, fractional coordinates:
1 Cu 0.0000 0.0000 0.1528
2 Cu 0.3333 0.6667 0.0508
3 Cu 0.3333 0.6667 0.7455
4 Ag 0.0000 0.0000 0.5000
5 Ag 0.3333 0.6667 0.3704

## Properties
**E_form**: 0.0912 eV per atom

Record 20
Compound: RbNpBe
Source: OQMD
Functional: PBE
Structure: relaxed

Cell lengths 7.315, 7.315, 7.315 Å; angles 90.00, 90.00, 90.00 degrees
Space group F-43m (No. 216)
Inequivalent atoms, fractional coordinates:
1 Rb 0.000 0.000 0.000
2 Np 0.000 0.000 0.500
3 Be 0.250 0.250 0.750

## Properties
**Energy**: -50.69 eV/cell